# Co4RuPt (GGA-PBE, relaxed)
# electronic total energy: -7.2105 eV per atom
# formation enthalpy at 0 K: 0.080 eV/atom
data_Co4RuPt
_chemical_formula_sum 'Co16 Ru4 Pt4'
_cell_length_a 6.681
_cell_length_b 6.681
_cell_length_c 6.681
_cell_angle_alpha 90.00
_cell_angle_beta 90.00
_cell_angle_gamma 90.00
_space_group_name_H-M_alt 'F -4 3 m'
_space_group_IT_number 216
_space_group_name_Hall 'F -4 2 3'
loop_
_atom_site_label
_atom_site_type_symbol
_atom_site_fract_x
_atom_site_fract_y
_atom_site_fract_z
_atom_site_occupancy
Co1 Co 0.125 0.125 0.125 1
Ru1 Ru 0.000 0.000 0.500 1
Pt1 Pt 0.250 0.250 0.750 1

---

# KRbSe2 (GGA-PBE, relaxed)
# relative energy among the computed polymorphs: 0.2913 eV/atom
# raw formation energy: -0.58 eV per atom
# electronic total energy: -2.8382 eV per atom
data_KRbSe2
_chemical_formula_sum 'K4 Rb4 Se8'
_cell_length_a 8.138
_cell_length_b 8.138
_cell_length_c 8.138
_cell_angle_alpha 90.00
_cell_angle_beta 90.00
_cell_angle_gamma 90.00
_space_group_name_H-M_alt 'F m -3 m'
_space_group_IT_number 225
_space_group_name_Hall '-F 4 2 3'
loop_
_atom_site_label
_atom_site_type_symbol
_atom_site_fract_x
_atom_site_fract_y
_atom_site_fract_z
_atom_site_occupancy
K1 K 0.000 0.000 0.000 1
Rb1 Rb 0.000 0.000 0.500 1
Se1 Se 0.250 0.250 0.250 1

---

# AcPd2Se (GGA-PBE, relaxed)
# raw formation energy: -0.74 eV per atom
# electronic total energy: -5.2360 eV per atom
data_AcPd2Se
_chemical_formula_sum 'Ac3 Pd6 Se3'
_cell_length_a 4.5652
_cell_length_b 4.5652
_cell_length_c 14.9924
_cell_angle_alpha 90.00
_cell_angle_beta 90.00
_cell_angle_gamma 120.00
_space_group_name_H-M_alt 'R -3 m'
_space_group_IT_number 166
_space_group_name_Hall '-R 3 2"'
loop_
_atom_site_label
_atom_site_type_symbol
_atom_site_fract_x
_atom_site_fract_y
_atom_site_fract_z
_atom_site_occupancy
Ac1 Ac 0.0000 0.0000 0.0000 1
Pd1 Pd 0.0000 0.0000 0.2141 1
Se1 Se 0.0000 0.0000 0.5000 1

---

# Ca2ErHg (GGA-PBE, relaxed)
# relative energy among the computed polymorphs: 0.0000 eV/atom
# electronic total energy: -2.3506 eV per atom
# formation enthalpy at 0 K: -0.134 eV/atom
data_Ca2ErHg
_chemical_formula_sum 'Ca2 Er1 Hg1'
_cell_length_a 4.054
_cell_length_b 4.054
_cell_length_c 7.530
_cell_angle_alpha 90.00
_cell_angle_beta 90.00
_cell_angle_gamma 90.00
_space_group_name_H-M_alt 'P 4/m m m'
_space_group_IT_number 123
_space_group_name_Hall '-P 4 2'
loop_
_atom_site_label
_atom_site_type_symbol
_atom_site_fract_x
_atom_site_fract_y
_atom_site_fract_z
_atom_site_occupancy
Ca1 Ca 0.000 0.000 0.227 1
Er1 Er 0.500 0.500 0.500 1
Hg1 Hg 0.500 0.500 0.000 1

---

# Er5BiTe4 (GGA-PBE, relaxed)
# raw formation energy: -1.14 eV per atom
# electronic total energy: -5.0671 eV per atom
data_Er5BiTe4
_chemical_formula_sum 'Er10 Bi2 Te8'
_cell_length_a 4.363
_cell_length_b 6.129
_cell_length_c 21.666
_cell_angle_alpha 90.00
_cell_angle_beta 90.00
_cell_angle_gamma 90.00
_space_group_name_H-M_alt 'I m m m'
_space_group_IT_number 71
_space_group_name_Hall '-I 2 2'
loop_
_atom_site_label
_atom_site_type_symbol
_atom_site_fract_x
_atom_site_fract_y
_atom_site_fract_z
_atom_site_occupancy
Er1 Er 0.000 0.000 0.000 1
Er2 Er 0.000 0.000 0.200 1
Er3 Er 0.000 0.000 0.399 1
Bi1 Bi 0.000 0.500 0.000 1
Te1 Te 0.000 0.500 0.201 1
Te2 Te 0.000 0.500 0.400 1

---

# NaLi3B (GGA-PBE, relaxed)
# relative energy among the computed polymorphs: 0.0000 eV/atom
# electronic total energy: -2.3799 eV per atom
# formation enthalpy at 0 K: 0.368 eV/atom
data_NaLi3B
_chemical_formula_sum 'Na1 Li3 B1'
_cell_length_a 4.483
_cell_length_b 4.483
_cell_length_c 4.483
_cell_angle_alpha 90.00
_cell_angle_beta 90.00
_cell_angle_gamma 90.00
_space_group_name_H-M_alt 'P m -3 m'
_space_group_IT_number 221
_space_group_name_Hall '-P 4 2 3'
loop_
_atom_site_label
_atom_site_type_symbol
_atom_site_fract_x
_atom_site_fract_y
_atom_site_fract_z
_atom_site_occupancy
Na1 Na 0.000 0.000 0.000 1
Li1 Li 0.000 0.500 0.500 1
B1 B 0.500 0.500 0.500 1

---

# Pm4BSb2 (GGA-PBE, relaxed)
# raw formation energy: -0.66 eV per atom
# electronic total energy: -5.5112 eV per atom
data_Pm4BSb2
_chemical_formula_sum 'Pm8 B2 Sb4'
_cell_length_a 5.019
_cell_length_b 5.019
_cell_length_c 16.304
_cell_angle_alpha 90.00
_cell_angle_beta 90.00
_cell_angle_gamma 90.00
_space_group_name_H-M_alt 'I 4/m m m'
_space_group_IT_number 139
_space_group_name_Hall '-I 4 2'
loop_
_atom_site_label
_atom_site_type_symbol
_atom_site_fract_x
_atom_site_fract_y
_atom_site_fract_z
_atom_site_occupancy
Pm1 Pm 0.000 0.000 0.164 1
Pm2 Pm 0.000 0.500 0.000 1
B1 B 0.000 0.000 0.000 1
Sb1 Sb 0.000 0.000 0.361 1

---

# RbLiBe2Zn (GGA-PBE, relaxed)
# electronic total energy: -1.1798 eV per atom
# formation enthalpy at 0 K: 1.142 eV/atom
data_RbLiBe2Zn
_chemical_formula_sum 'Rb1 Li1 Be2 Zn1'
_cell_length_a 4.755
_cell_length_b 4.755
_cell_length_c 5.648
_cell_angle_alpha 90.00
_cell_angle_beta 90.00
_cell_angle_gamma 90.00
_space_group_name_H-M_alt 'P 4/m m m'
_space_group_IT_number 123
_space_group_name_Hall '-P 4 2'
loop_
_atom_site_label
_atom_site_type_symbol
_atom_site_fract_x
_atom_site_fract_y
_atom_site_fract_z
_atom_site_occupancy
Rb1 Rb 0.000 0.000 0.000 1
Li1 Li 0.000 0.000 0.500 1
Be1 Be 0.000 0.500 0.500 1
Zn1 Zn 0.500 0.500 0.000 1